The following is a DFT calculation (GGA-PBE) of crystalline Na3PaBi12 at its relaxed geometry.

Lattice parameters (Å, degrees): 4.882 4.882 20.460 90.00 90.00 90.00
Sites, in units of the cell vectors:
Bi 0.500 0.000 0.121
Bi 0.000 0.500 0.879
Bi 0.500 0.500 0.740
Bi 0.500 0.000 0.625
Bi 0.000 0.500 0.375
Bi 0.500 0.000 0.879
Bi 0.500 0.500 0.500
Pa 0.000 0.000 0.000
Bi 0.500 0.000 0.375
Bi 0.500 0.500 0.000
Bi 0.000 0.500 0.625
Bi 0.000 0.500 0.121
Na 0.000 0.000 0.246
Na 0.000 0.000 0.754
Bi 0.500 0.500 0.260
Na 0.000 0.000 0.500

Values from the calculation:
formation energy: -0.126 eV per atom
DFT total energy: -3.877 eV/atom
V: 487.7 Å³ per cell

The following is a DFT calculation (GGA-PBE) of crystalline NdAl9Rh2 at its relaxed geometry.

Lattice parameters (Å, degrees): 6.967 8.366 8.366 80.02 65.40 65.40
Sites, in units of the cell vectors:
Al 0.141 0.421 0.178
Al 0.312 0.678 0.079
Al 0.141 0.178 0.421
Nd 0.500 0.000 0.000
Rh 0.875 0.750 0.250
Rh 0.375 0.750 0.750
Rh 0.875 0.250 0.750
Al 0.438 0.421 0.822
Al 0.609 0.079 0.322
Al 0.000 0.000 0.000
Al 0.740 0.579 0.822
Al 0.069 0.322 0.921
Al 0.010 0.678 0.921
Rh 0.875 0.250 0.250
Al 0.681 0.178 0.579
Al 0.010 0.921 0.678
Al 0.750 0.500 0.500
Al 0.069 0.921 0.322
Al 0.740 0.822 0.579
Al 0.312 0.079 0.678
Al 0.438 0.822 0.421
Al 0.609 0.322 0.079
Al 0.681 0.579 0.178
Nd 0.250 0.500 0.500

Values from the calculation:
formation energy: -0.563 eV per atom
DFT total energy: -4.993 eV/atom
V: 403.1 Å³ per cell